Computed, not measured: a relaxed Ti2Zn3Ni4 crystal at the PBE level of DFT.

abc: 4.9765 6.5316 7.9301
angles: 90.00 108.29 90.00
Fractional positions:
Ni  0.6576  0.5291  0.3152
Zn  0.5110  0.7500  0.5221
Ni  0.8424  0.0291  0.6848
Zn  0.0000  0.0000  0.0000
Ti  0.0977  0.5960  0.1955
Zn  0.0110  0.7500  0.5221
Ni  0.3424  0.4709  0.6848
Ni  0.1748  0.7500  0.8496
Ni  0.3252  0.2500  0.1504
Ti  0.4023  0.0960  0.8045
Zn  0.9890  0.2500  0.4779
Ni  0.1576  0.9709  0.3152
Zn  0.4890  0.2500  0.4779
Ni  0.8252  0.2500  0.1504
Ni  0.6748  0.7500  0.8496
Zn  0.5000  0.5000  0.0000
Ti  0.9023  0.4040  0.8045
Ti  0.5977  0.9040  0.1955

**Energy above the lowest structure with this stoichiometry**: 138 meV per atom
**Formation energy from the elements**: -1.8 eV per formula unit
**SG**: No. 64



Computed, not measured: a relaxed Ti5Zn2Ni12 crystal at the PBE level of DFT.

abc: 4.9062 7.6036 8.0010
angles: 110.64 90.00 108.82
Fractional positions:
Ti  0.6346  0.2693  0.8504
Ti  0.3654  0.7307  0.1496
Ni  0.5926  0.6830  0.3951
Ti  0.0000  0.0000  0.5000
Ni  0.1169  0.2339  0.3001
Ti  0.3156  0.6311  0.6461
Ni  0.5659  0.6003  0.8917
Ti  0.6844  0.3689  0.3539
Ni  0.9657  0.3997  0.1083
Ni  0.4793  0.9587  0.6325
Ni  0.5207  0.0413  0.3675
Zn  0.2491  0.0000  0.0000
Ni  0.0343  0.6003  0.8917
Ni  0.0904  0.6830  0.3951
Ni  0.4341  0.3997  0.1083
Zn  0.7509  0.0000  0.0000
Ni  0.9096  0.3170  0.6049
Ni  0.4074  0.3170  0.6049
Ni  0.8831  0.7661  0.6999

**Formation energy from the elements**: -1.8 eV per formula unit
**SG**: No. 12



Computed, not measured: a relaxed TiZn5Ni crystal at the PBE level of DFT.

abc: 4.1584 4.1584 6.1103
angles: 90.00 90.00 90.00
Fractional positions:
Zn  0.0000  0.5000  0.2860
Zn  0.5000  0.0000  0.2860
Zn  0.5000  0.0000  0.7140
Ti  0.0000  0.0000  0.0000
Ni  0.0000  0.0000  0.5000
Zn  0.5000  0.5000  0.0000
Zn  0.0000  0.5000  0.7140

**Formation energy from the elements**: -1.3 eV per formula unit
**SG**: No. 123